No. 1
An optimized crystal structure of TlCdF3. Source: the Alexandria database, functional PBE.

Output
The formation energy without anion corrections is -10.2 eV per formula unit.

Cell: 6.4038 6.4038 7.4594 Å, 97.90 97.90 40.47°
Last column: nearest neighbours and their distance in Å.
Fractional positions:
Tl1 0.1199 0.1199 0.3867  3 F 2.53-2.75
Tl2 0.8801 0.8801 0.6133  3 F 2.53-2.75
Cd1 0.3673 0.3673 0.0841  6 F 2.21-2.36
Cd2 0.6327 0.6327 0.9159  6 F 2.21-2.36
F1 0.1735 0.1735 0.9700  3 Cd 2.29-2.36
F2 0.3280 0.3280 0.3639  1 Cd 2.21
F3 0.4427 0.4427 0.8221  2 Cd 2.27-2.29
F4 0.5573 0.5573 0.1779  2 Cd 2.27-2.29
F5 0.6720 0.6720 0.6361  1 Cd 2.21
F6 0.8265 0.8265 0.0300  3 Cd 2.29-2.36

=====

No. 2
An optimized crystal structure of Ca2TcSb. Source: the Alexandria database, functional PBE.

Output
The formation energy without anion corrections is -0.5 eV per formula unit.

Cell: 3.5164 3.5164 8.5378 Å, 90.00 90.00 90.00°
Last column: nearest neighbours and their distance in Å.
Fractional positions:
Ca1 0.0000 0.0000 0.0000  1 Sb 3.18, 4 Tc 3.21, 4 Ca 3.52
Ca2 0.5000 0.5000 0.3783  4 Sb 3.27, 1 Tc 3.28, 4 Ca 3.52
Tc1 0.5000 0.5000 0.7622  4 Sb 2.74
Sb1 0.0000 0.0000 0.6278  4 Tc 2.74

=====

No. 3
An optimized crystal structure of AlTl3Re. Source: the Alexandria database, functional PBE.

Output
For the energy above the most stable polymorph in this dataset, the calculation gives 607.3 meV per atom. The calculation puts the energy relative to the elements at 1433 meV/atom.

Cell: 5.3102 5.3102 5.3102 Å, 90.00 90.00 90.00°
Last column: nearest neighbours and their distance in Å.
Fractional positions:
Al1 0.0000 0.0000 0.0000  6 Tl 2.66
Tl1 0.0000 0.0000 0.5000  2 Al 2.66
Tl2 0.0000 0.5000 0.0000  2 Al 2.66
Tl3 0.5000 0.0000 0.0000  2 Al 2.66
Re1 0.5000 0.5000 0.5000  12 Tl 3.75

=====

No. 4
An optimized crystal structure of NaInNiSn2. Source: the Alexandria database, functional PBE.

Output
The calculation puts the energy relative to the elements at -32 meV/atom.

Cell: 5.0522 5.0522 5.0403 Å, 90.00 90.00 90.00°
Last column: nearest neighbours and their distance in Å.
Fractional positions:
Na1 0.0000 0.0000 0.0000  8 Sn 3.57, 4 In 3.57
In1 0.5000 0.5000 0.0000  2 Ni 2.52
Ni1 0.5000 0.5000 0.5000  2 In 2.52, 4 Sn 2.53
Sn1 0.0000 0.5000 0.5000  2 Ni 2.53
Sn2 0.5000 0.0000 0.5000  2 Ni 2.53

=====

- What is the formula in the fourth record?
  NaInNiSn2